# V6Mo3Os GGA-PBE relaxed
# total magnetization: 0.00 μB per atom
# total DFT energy (no corrections): -9.690 eV/atom
# energy of formation from the pure elements: 0.1532 eV/atom
# energy relative to the lowest polymorph listed for this composition: 0.360 eV per atom
data_V6Mo3Os
_chemical_formula_sum 'V12 Mo6 Os2'
_cell_length_a 9.172
_cell_length_b 2.960
_cell_length_c 11.697
_cell_angle_alpha 90.00
_cell_angle_beta 111.88
_cell_angle_gamma 90.00
_space_group_name_H-M_alt 'P 1 21/m 1'
_space_group_IT_number 11
_space_group_name_Hall '-P 2yb'
loop_
_atom_site_label
_atom_site_fract_x
_atom_site_fract_y
_atom_site_fract_z
V1 0.010 0.250 0.322
V2 0.137 0.250 0.859
V3 0.240 0.750 0.304
V4 0.282 0.750 0.710
V5 0.288 0.750 0.061
V6 0.393 0.250 0.520
Mo1 0.079 0.250 0.100
Mo2 0.135 0.750 0.505
Mo3 0.426 0.250 0.899
Os1 0.435 0.250 0.267